Record 1
Here is LiMg2Sb at its PBEsol-relaxed geometry from Alexandria via LeMat-Bulk. Energies are from meta-GGA SCAN.

Geometry as POSCAR:
```
LiMg2Sb
1.0
3.254 0.000 0.000
0.000 3.254 0.000
0.000 0.000 8.401
Li Mg Sb
1 2 1
direct
0.000 0.000 0.000 Li
0.000 0.000 0.522 Mg
0.500 0.500 0.261 Mg
0.500 0.500 0.778 Sb
```

The uncorrected formation energy is -0.14 eV per atom. The density of states at the Fermi level is 0.401 states/eV/atom. The size of the total moment comes out at 0.05 μB per formula unit. The total energy is -12.5361 eV per atom. Its space-group type is P4mm.

=====

Record 2
Here is LiMg2Sb at its PBEsol-relaxed geometry from Alexandria via LeMat-Bulk. Energies are from meta-GGA SCAN.

Geometry as POSCAR:
```
LiMg2Sb
1.0
0.000 3.523 3.523
3.523 0.000 3.523
3.523 3.523 0.000
Li Mg Sb
1 2 1
direct
0.000 0.000 0.000 Li
0.500 0.500 0.500 Mg
0.750 0.750 0.750 Mg
0.250 0.250 0.250 Sb
```

The uncorrected formation energy is -0.21 eV per atom. The density of states at the Fermi level is 0.195 states/eV/atom. The size of the total moment comes out at 0.00 μB per formula unit. The total energy is -12.6049 eV per atom. Its space-group type is F-43m.

=====

Record 3
Here is LiMgSb2 at its PBEsol-relaxed geometry from Alexandria via LeMat-Bulk. Energies are from meta-GGA SCAN.

Geometry as POSCAR:
```
LiMgSb2
1.0
-2.234 2.410 4.173
2.234 -2.410 4.173
2.234 2.410 -4.173
Li Mg Sb
1 1 2
direct
0.000 0.000 0.000 Li
0.500 0.500 0.000 Mg
0.249 0.749 0.500 Sb
0.751 0.251 0.500 Sb
```

The uncorrected formation energy is -0.30 eV per atom. The density of states at the Fermi level is 0.358 states/eV/atom. The size of the total moment comes out at 0.00 μB per formula unit. The total energy is -20.7694 eV per atom. Its space-group type is Immm.

=====

Record 4
Here is LiMgSiSb2 at its PBEsol-relaxed geometry from Alexandria via LeMat-Bulk. Energies are from meta-GGA SCAN.

Geometry as POSCAR:
```
LiMgSiSb2
1.0
4.896 0.000 0.000
0.000 4.896 0.000
0.000 0.000 4.652
Li Mg Si Sb
1 1 1 2
direct
0.000 0.000 0.000 Li
0.000 0.000 0.500 Mg
0.500 0.500 0.500 Si
0.000 0.500 0.000 Sb
0.500 0.000 0.000 Sb
```

The uncorrected formation energy is 0.58 eV per atom. The density of states at the Fermi level is 0.678 states/eV/atom. The size of the total moment comes out at 0.00 μB per formula unit. The total energy is -17.7992 eV per atom. Its space-group type is P4/mmm.

=====

Copy entry 3 word for word.
Here is LiMgSb2 at its PBEsol-relaxed geometry from Alexandria via LeMat-Bulk. Energies are from meta-GGA SCAN.

Geometry as POSCAR:
```
LiMgSb2
1.0
-2.234 2.410 4.173
2.234 -2.410 4.173
2.234 2.410 -4.173
Li Mg Sb
1 1 2
direct
0.000 0.000 0.000 Li
0.500 0.500 0.000 Mg
0.249 0.749 0.500 Sb
0.751 0.251 0.500 Sb
```

The uncorrected formation energy is -0.30 eV per atom. The density of states at the Fermi level is 0.358 states/eV/atom. The size of the total moment comes out at 0.00 μB per formula unit. The total energy is -20.7694 eV per atom. Its space-group type is Immm.

=====

Question: What is the uncorrected formation energy in the first record?
Answer: -0.14 eV per atom

=====

Question: Which of these has the highest density of states at the Fermi level?
Answer: LiMgSiSb2